# 1
Entry from Alexandria via LeMat-Bulk: CeHoCd4 after structural relaxation (PBE).

The structure in CIF format:
```
data_CeHoCd4
_symmetry_space_group_name_H-M 'F -4 3 m'
_symmetry_Int_Tables_number 216
_symmetry_space_group_name_Hall 'F -4 2 3'
_cell_length_a 8.392
_cell_length_b 8.392
_cell_length_c 8.392
_cell_angle_alpha 90.00
_cell_angle_beta 90.00
_cell_angle_gamma 90.00
loop_
_atom_site_label
_atom_site_fract_x
_atom_site_fract_y
_atom_site_fract_z
_atom_site_occupancy
Ce1 0.000 0.000 0.000 1
Ho1 0.250 0.250 0.250 1
Cd1 0.125 0.125 0.625 1
```

Computed properties:
E above lowest polymorph, meV/atom: 61.0
Calculated density, g/cm3: 8.5
ΔH_f (0 K), eV/atom: -0.212



# 2
Entry from Alexandria via LeMat-Bulk: Ac2PrGa after structural relaxation (PBE).

The structure in CIF format:
```
data_Ac2PrGa
_symmetry_space_group_name_H-M 'P 4/m m m'
_symmetry_Int_Tables_number 123
_symmetry_space_group_name_Hall '-P 4 2'
_cell_length_a 5.214
_cell_length_b 5.214
_cell_length_c 4.959
_cell_angle_alpha 90.00
_cell_angle_beta 90.00
_cell_angle_gamma 90.00
loop_
_atom_site_label
_atom_site_fract_x
_atom_site_fract_y
_atom_site_fract_z
_atom_site_occupancy
Ac1 0.000 0.500 0.000 1
Pr1 0.000 0.000 0.500 1
Ga1 0.500 0.500 0.500 1
```

Computed properties:
E above lowest polymorph, meV/atom: 65.3
Calculated density, g/cm3: 8.2
ΔH_f (0 K), eV/atom: -0.132



# 3
Entry from Alexandria via LeMat-Bulk: HoTmNiIr after structural relaxation (PBE).

The structure in CIF format:
```
data_HoTmNiIr
_symmetry_space_group_name_H-M 'F -4 3 m'
_symmetry_Int_Tables_number 216
_symmetry_space_group_name_Hall 'F -4 2 3'
_cell_length_a 6.752
_cell_length_b 6.752
_cell_length_c 6.752
_cell_angle_alpha 90.00
_cell_angle_beta 90.00
_cell_angle_gamma 90.00
loop_
_atom_site_label
_atom_site_fract_x
_atom_site_fract_y
_atom_site_fract_z
_atom_site_occupancy
Ho1 0.000 0.000 0.000 1
Tm1 0.000 0.000 0.500 1
Ni1 0.250 0.250 0.750 1
Ir1 0.250 0.250 0.250 1
```

Computed properties:
Calculated density, g/cm3: 12.6
ΔH_f (0 K), eV/atom: -0.702



What is the ΔH_f (0 K) in the third record? -0.702 eV/atom



Number 1 is which compound? CeHoCd4



Repeat the first record exactly.
Entry from Alexandria via LeMat-Bulk: CeHoCd4 after structural relaxation (PBE).

The structure in CIF format:
```
data_CeHoCd4
_symmetry_space_group_name_H-M 'F -4 3 m'
_symmetry_Int_Tables_number 216
_symmetry_space_group_name_Hall 'F -4 2 3'
_cell_length_a 8.392
_cell_length_b 8.392
_cell_length_c 8.392
_cell_angle_alpha 90.00
_cell_angle_beta 90.00
_cell_angle_gamma 90.00
loop_
_atom_site_label
_atom_site_fract_x
_atom_site_fract_y
_atom_site_fract_z
_atom_site_occupancy
Ce1 0.000 0.000 0.000 1
Ho1 0.250 0.250 0.250 1
Cd1 0.125 0.125 0.625 1
```

Computed properties:
E above lowest polymorph, meV/atom: 61.0
Calculated density, g/cm3: 8.5
ΔH_f (0 K), eV/atom: -0.212



What is the formula in the third record? HoTmNiIr